# 1
# HoLuNp | the Open Quantum Materials Database | PBE-GGA | optimized geometry
# - Calculated total energy: -6.142 eV per atom
# - ρ: 9.78 g/cm3
# - Magnetic moment: 1.720 μB per atom
data_HoLuNp
_space_group_name_H-M_alt 'F -4 3 m'
_space_group_IT_number 216
_space_group_name_Hall 'F -4 2 3'
_cell_length_a 7.318
_cell_length_b 7.318
_cell_length_c 7.318
_cell_angle_alpha 90.00
_cell_angle_beta 90.00
_cell_angle_gamma 90.00
loop_
_atom_site_label
_atom_site_type_symbol
_atom_site_fract_x
_atom_site_fract_y
_atom_site_fract_z
_atom_site_occupancy
Ho1 Ho 0.000 0.000 0.000 1
Lu1 Lu 0.250 0.250 0.250 1
Np1 Np 0.000 0.000 0.500 1

# 2
# Ag2Te4O11 | the Open Quantum Materials Database | PBE-GGA | optimized geometry
# - Calculated total energy: -5.061 eV per atom
# - ρ: 6.70 g/cm3
data_Ag2Te4O11
_space_group_name_H-M_alt 'P -1'
_space_group_IT_number 2
_space_group_name_Hall '-P 1'
_cell_length_a 7.300
_cell_length_b 7.412
_cell_length_c 9.636
_cell_angle_alpha 95.66
_cell_angle_beta 94.43
_cell_angle_gamma 119.46
loop_
_atom_site_label
_atom_site_type_symbol
_atom_site_fract_x
_atom_site_fract_y
_atom_site_fract_z
_atom_site_occupancy
Ag1 Ag 0.001 0.318 0.141 1
Ag2 Ag 0.224 0.216 0.484 1
Te1 Te 0.004 0.180 0.829 1
Te2 Te 0.224 0.714 0.502 1
Te3 Te 0.492 0.684 0.811 1
Te4 Te 0.493 0.189 0.813 1
O1 O 0.067 0.812 0.366 1
O2 O 0.070 0.437 0.394 1
O3 O 0.205 0.104 0.733 1
O4 O 0.220 0.502 0.863 1
O5 O 0.222 0.140 0.232 1
O6 O 0.224 0.739 0.115 1
O7 O 0.382 0.173 0.994 1
O8 O 0.385 0.884 0.793 1
O9 O 0.393 0.581 0.613 1
O10 O 0.400 0.507 0.161 1
O11 O 0.466 0.814 0.384 1